# 1
DFT (PBE) results for a geometry-optimized Tb2Pd8Au structure.

## Properties
Total energy ... -5.441 eV/atom
Volume ... 17.588 Å³ per atom
ΔE_f ... -0.524 eV per atom

```
data_Tb2Pd8Au
_chemical_formula_sum 'Tb4 Pd16 Au2'
_space_group_name_H-M_alt 'C 1 2/m 1'
_space_group_IT_number 12
_space_group_name_Hall '-C 2y'
_cell_length_a 14.575
_cell_length_b 4.254
_cell_length_c 6.555
_cell_angle_alpha 90.00
_cell_angle_beta 107.80
_cell_angle_gamma 90.00
loop_
_atom_site_label
_atom_site_fract_x
_atom_site_fract_y
_atom_site_fract_z
_atom_site_occupancy
Tb1 0.215 0.000 0.166 1
Pd1 0.035 0.000 0.225 1
Pd2 0.091 0.500 0.942 1
Pd3 0.143 0.000 0.681 1
Pd4 0.170 0.500 0.399 1
Au1 0.000 0.500 0.500 1
```


# 2
DFT (PBE) results for a geometry-optimized TbPd4Au2 structure.

## Properties
Total energy ... -5.039 eV/atom
Polymorph energy (0 for the lowest one) ... 0.0 meV/atom
Volume ... 18.182 Å³ per atom
ΔE_f ... -0.473 eV per atom

```
data_TbPd4Au2
_chemical_formula_sum 'Tb2 Pd8 Au4'
_space_group_name_H-M_alt 'C 1 2/m 1'
_space_group_IT_number 12
_space_group_name_Hall '-C 2y'
_cell_length_a 8.727
_cell_length_b 6.789
_cell_length_c 5.487
_cell_angle_alpha 90.00
_cell_angle_beta 128.46
_cell_angle_gamma 90.00
loop_
_atom_site_label
_atom_site_fract_x
_atom_site_fract_y
_atom_site_fract_z
_atom_site_occupancy
Tb1 0.000 0.000 0.000 1
Pd1 0.201 0.202 0.701 1
Au1 0.000 0.500 0.249 1
```


# 3
DFT (PBE) results for a geometry-optimized Tb2Pd8Au3 structure.

## Properties
Total energy ... -4.913 eV/atom
Volume ... 18.987 Å³ per atom
ΔE_f ... -0.249 eV per atom

```
data_Tb2Pd8Au3
_chemical_formula_sum 'Tb6 Pd24 Au9'
_space_group_name_H-M_alt 'R -3 m'
_space_group_IT_number 166
_space_group_name_Hall '-R 3 2"'
_cell_length_a 5.2610
_cell_length_b 5.2610
_cell_length_c 30.8922
_cell_angle_alpha 90.00
_cell_angle_beta 90.00
_cell_angle_gamma 120.00
loop_
_atom_site_label
_atom_site_fract_x
_atom_site_fract_y
_atom_site_fract_z
_atom_site_occupancy
Tb1 0.0000 0.0000 0.1344 1
Pd1 0.0000 0.0000 0.2250 1
Pd2 0.0017 0.5008 0.2733 1
Au1 0.0000 0.0000 0.3149 1
Au2 0.0000 0.0000 0.5000 1
```


Which formula does entry 1 have?
Tb2Pd8Au


Which of these has the lowest ΔE_f?
Tb2Pd8Au


What is the ΔE_f in the third record?
-0.249 eV per atom


total energy of number 3 (Tb2Pd8Au3)?
-4.913 eV/atom